1.
Compound: DyPuPa2N6
Source: the Alexandria database
Functional: PBE-GGA
Structure: relaxed

Output
* final energy: -10.17 eV per atom
* volume: 454.4 Å³/cell

a = 5.9549 Å, b = 5.9549 Å, c = 14.7951 Å
α = 90.00°, β = 90.00°, γ = 120.00°
Space group R3 (No. 146, hexagonal axes)
Unique sites:
Dy (0.0000, 0.0000, 0.0000) [3 per cell]
Pu (0.0000, 0.0000, 0.4886) [3 per cell]
Pa (0.0000, 0.0000, 0.2697) [3 per cell]
Pa (0.0000, 0.0000, 0.7743) [3 per cell]
N (0.0145, 0.7313, 0.3836) [9 per cell]
N (0.0402, 0.3723, 0.5448) [9 per cell]


2.
Compound: VSiI2N
Source: the Alexandria database
Functional: PBE-GGA
Structure: relaxed

Output
* excess energy over the best structure of this formula in the dataset: 133 meV/atom
* volume: 109.4 Å³/cell

a = 5.679 Å, b = 5.679 Å, c = 3.392 Å
α = 90.00°, β = 90.00°, γ = 90.00°
Space group P4/mmm (No. 123)
Unique sites:
V (0.000, 0.000, 0.000) [1 per cell]
Si (0.500, 0.500, 0.500) [1 per cell]
I (0.000, 0.500, 0.500) [2 per cell]
N (0.500, 0.500, 0.000) [1 per cell]


3.
Compound: Hf2ZrSi
Source: the Alexandria database
Functional: PBE-GGA
Structure: relaxed

Output
* final energy: -8.97 eV per atom
* volume: 326.2 Å³/cell

a = 3.623 Å, b = 10.701 Å, c = 8.413 Å
α = 90.00°, β = 90.00°, γ = 90.00°
Space group Cmcm (No. 63)
Unique sites:
Hf (0.000, 0.138, 0.043) [8 per cell]
Zr (0.000, 0.438, 0.250) [4 per cell]
Si (0.000, 0.263, 0.750) [4 per cell]


4.
Compound: Pm3Pu5Te8
Source: the Alexandria database
Functional: PBE-GGA
Structure: relaxed

Output
* final energy: -8.17 eV per atom
* volume: 1491.0 Å³/cell

a = 8.8769 Å, b = 8.8769 Å, c = 21.8479 Å
α = 90.00°, β = 90.00°, γ = 120.00°
Space group R-3m (No. 166, hexagonal axes)
Unique sites:
Pm (0.0000, 0.5000, 0.0000) [9 per cell]
Pu (0.0000, 0.0000, 0.0000) [3 per cell]
Pu (0.0000, 0.0000, 0.5000) [3 per cell]
Pu (0.0000, 0.5000, 0.5000) [9 per cell]
Te (0.0000, 0.0000, 0.2488) [6 per cell]
Te (0.0018, 0.5009, 0.7509) [18 per cell]


5.
Compound: SrNdYMg
Source: the Alexandria database
Functional: PBE-GGA
Structure: relaxed

Output
* E_form: 13.6 kJ/mol of atoms
* volume: 553.2 Å³/cell

a = 8.209 Å, b = 8.209 Å, c = 8.209 Å
α = 90.00°, β = 90.00°, γ = 90.00°
Space group F-43m (No. 216)
Unique sites:
Sr (0.000, 0.000, 0.000) [4 per cell]
Nd (0.000, 0.000, 0.500) [4 per cell]
Y (0.250, 0.250, 0.250) [4 per cell]
Mg (0.250, 0.250, 0.750) [4 per cell]


6.
Compound: Na3YSb2Te6
Source: the Alexandria database
Functional: PBE-GGA
Structure: relaxed

Output
* final energy: -3.87 eV per atom
* volume: 777.2 Å³/cell

a = 7.700 Å, b = 13.344 Å, c = 7.988 Å
α = 90.00°, β = 108.75°, γ = 90.00°
Space group C2/m (No. 12)
Unique sites:
Na (0.000, 0.000, 0.000) [2 per cell]
Na (0.000, 0.329, 0.000) [4 per cell]
Y (0.000, 0.500, 0.500) [2 per cell]
Sb (0.000, 0.166, 0.500) [4 per cell]
Te (0.243, 0.000, 0.732) [4 per cell]
Te (0.243, 0.333, 0.729) [8 per cell]


7.
Compound: Re2As2Br
Source: the Alexandria database
Functional: PBE-GGA
Structure: relaxed

Output
* excess energy over the best structure of this formula in the dataset: 0 meV/atom
* volume: 216.0 Å³/cell

a = 3.666 Å, b = 3.666 Å, c = 16.074 Å
α = 90.00°, β = 90.00°, γ = 90.00°
Space group I4/mmm (No. 139)
Unique sites:
Re (0.000, 0.500, 0.250) [4 per cell]
As (0.000, 0.000, 0.132) [4 per cell]
Br (0.000, 0.000, 0.500) [2 per cell]


8.
Compound: TbPu2TaN4
Source: the Alexandria database
Functional: PBE-GGA
Structure: relaxed

Output
* final energy: -11.13 eV per atom
* volume: 108.6 Å³/cell

a = 5.845 Å, b = 3.360 Å, c = 5.858 Å
α = 90.00°, β = 109.24°, γ = 90.00°
Space group P2/m (No. 10)
Unique sites:
Tb (0.000, 0.000, 0.000) [1 per cell]
Pu (0.500, 0.000, 0.500) [1 per cell]
Pu (0.500, 0.500, 0.000) [1 per cell]
Ta (0.000, 0.500, 0.500) [1 per cell]
N (0.225, 0.000, 0.722) [2 per cell]
N (0.236, 0.500, 0.274) [2 per cell]


9.
Compound: Ta4CuS8
Source: the Alexandria database
Functional: PBE-GGA
Structure: relaxed

Output
* final energy: -7.43 eV per atom
* volume: 988.4 Å³/cell

a = 9.961 Å, b = 9.961 Å, c = 9.961 Å
α = 90.00°, β = 90.00°, γ = 90.00°
Space group F-43m (No. 216)
Unique sites:
Ta (0.111, 0.111, 0.111) [16 per cell]
Cu (0.000, 0.000, 0.500) [4 per cell]
S (0.131, 0.131, 0.369) [16 per cell]
S (0.132, 0.132, 0.868) [16 per cell]


10.
Compound: Ac4PmSe7
Source: the Alexandria database
Functional: PBE-GGA
Structure: relaxed

Output
* final energy: -5.77 eV per atom
* volume: 775.7 Å³/cell

a = 14.555 Å, b = 4.314 Å, c = 12.809 Å
α = 90.00°, β = 105.32°, γ = 90.00°
Space group Cm (No. 8)
Unique sites:
Ac (0.000, 0.000, 0.000) [2 per cell]
Ac (0.092, 0.500, 0.378) [2 per cell]
Ac (0.196, 0.000, 0.769) [2 per cell]
Ac (0.393, 0.500, 0.566) [2 per cell]
Pm (0.276, 0.500, 0.146) [2 per cell]
Se (0.054, 0.500, 0.622) [2 per cell]
Se (0.130, 0.500, 0.929) [2 per cell]
Se (0.160, 0.000, 0.220) [2 per cell]
Se (0.232, 0.000, 0.522) [2 per cell]
Se (0.351, 0.500, 0.785) [2 per cell]
Se (0.374, 0.000, 0.062) [2 per cell]
Se (0.432, 0.500, 0.343) [2 per cell]


11.
Compound: HfNiMoPt2
Source: the Alexandria database
Functional: PBE-GGA
Structure: relaxed

Output
* E_form: 67.3 kJ/mol of atoms
* volume: 91.9 Å³/cell

a = 4.554 Å, b = 4.554 Å, c = 4.430 Å
α = 90.00°, β = 90.00°, γ = 90.00°
Space group P4/mmm (No. 123)
Unique sites:
Hf (0.000, 0.000, 0.000) [1 per cell]
Ni (0.000, 0.000, 0.500) [1 per cell]
Mo (0.500, 0.500, 0.000) [1 per cell]
Pt (0.000, 0.500, 0.500) [2 per cell]


12.
Compound: Sr2AlIn
Source: the Alexandria database
Functional: PBE-GGA
Structure: relaxed

Output
* E_form: -24.8 kJ/mol of atoms
* excess energy over the best structure of this formula in the dataset: 29 meV/atom
* volume: 128.9 Å³/cell

a = 3.965 Å, b = 4.048 Å, c = 8.031 Å
α = 90.00°, β = 90.06°, γ = 90.00°
Space group P2/m (No. 10)
Unique sites:
Sr (0.000, 0.000, 0.241) [2 per cell]
Al (0.500, 0.500, 0.000) [1 per cell]
In (0.500, 0.500, 0.500) [1 per cell]


13.
Compound: Sc5TlIn2
Source: the Alexandria database
Functional: PBE-GGA
Structure: relaxed

Output
* E_form: -31.0 kJ/mol of atoms
* volume: 376.4 Å³/cell

a = 6.297 Å, b = 12.366 Å, c = 4.834 Å
α = 90.00°, β = 90.00°, γ = 90.00°
Space group Pbam (No. 55)
Unique sites:
Sc (0.000, 0.000, 0.000) [2 per cell]
Sc (0.129, 0.266, 0.000) [4 per cell]
Sc (0.163, 0.612, 0.500) [4 per cell]
Tl (0.000, 0.500, 0.000) [2 per cell]
In (0.134, 0.856, 0.500) [4 per cell]


14.
Compound: LaNd4Y15
Source: the Alexandria database
Functional: PBE-GGA
Structure: relaxed

Output
* E_form: 2.1 kJ/mol of atoms
* volume: 661.6 Å³/cell

a = 5.104 Å, b = 5.104 Å, c = 25.393 Å
α = 90.00°, β = 90.00°, γ = 90.00°
Space group P4/mmm (No. 123)
Unique sites:
La (0.000, 0.000, 0.000) [1 per cell]
Nd (0.000, 0.000, 0.200) [2 per cell]
Nd (0.000, 0.000, 0.400) [2 per cell]
Y (0.000, 0.500, 0.101) [4 per cell]
Y (0.000, 0.500, 0.300) [4 per cell]
Y (0.000, 0.500, 0.500) [2 per cell]
Y (0.500, 0.500, 0.000) [1 per cell]
Y (0.500, 0.500, 0.201) [2 per cell]
Y (0.500, 0.500, 0.400) [2 per cell]


15.
Compound: ErSbP2Rh5
Source: the Alexandria database
Functional: PBE-GGA
Structure: relaxed

Output
* final energy: -6.95 eV per atom
* volume: 165.1 Å³/cell

a = 4.016 Å, b = 4.016 Å, c = 10.233 Å
α = 90.00°, β = 90.00°, γ = 90.00°
Space group P4/mmm (No. 123)
Unique sites:
Er (0.000, 0.000, 0.000) [1 per cell]
Sb (0.000, 0.000, 0.500) [1 per cell]
P (0.500, 0.500, 0.220) [2 per cell]
Rh (0.000, 0.500, 0.327) [4 per cell]
Rh (0.500, 0.500, 0.000) [1 per cell]


16.
Compound: MnNb12Mo6
Source: the Alexandria database
Functional: PBE-GGA
Structure: relaxed

Output
* E_form: 15.1 kJ/mol of atoms
* volume: 1013.9 Å³/cell

a = 9.7421 Å, b = 9.7421 Å, c = 12.3352 Å
α = 90.00°, β = 90.00°, γ = 120.00°
Space group R-3 (No. 148, hexagonal axes)
Unique sites:
Mn (0.0000, 0.0000, 0.0000) [3 per cell]
Nb (0.0547, 0.1863, 0.8049) [18 per cell]
Nb (0.0646, 0.8338, 0.4158) [18 per cell]
Mo (0.0429, 0.4526, 0.7066) [18 per cell]


17.
Compound: Y4CrSb
Source: the Alexandria database
Functional: PBE-GGA
Structure: relaxed

Output
* final energy: -6.12 eV per atom
* volume: 707.2 Å³/cell

a = 8.909 Å, b = 8.909 Å, c = 8.909 Å
α = 90.00°, β = 90.00°, γ = 90.00°
Space group F-43m (No. 216)
Unique sites:
Y (0.125, 0.125, 0.125) [16 per cell]
Cr (0.250, 0.250, 0.750) [4 per cell]
Sb (0.000, 0.000, 0.500) [4 per cell]


18.
Compound: Hf4ZrFe
Source: the Alexandria database
Functional: PBE-GGA
Structure: relaxed

Output
* E_form: 8.4 kJ/mol of atoms
* volume: 255.2 Å³/cell

a = 10.761 Å, b = 3.284 Å, c = 8.250 Å
α = 90.00°, β = 118.91°, γ = 90.00°
Space group C2/m (No. 12)
Unique sites:
Hf (0.110, 0.000, 0.380) [4 per cell]
Hf (0.211, 0.500, 0.823) [4 per cell]
Zr (0.000, 0.500, 0.000) [2 per cell]
Fe (0.000, 0.500, 0.500) [2 per cell]


19.
Compound: ScNi2RhC
Source: the Alexandria database
Functional: PBE-GGA
Structure: relaxed

Output
* E_form: -29.1 kJ/mol of atoms
* volume: 62.0 Å³/cell

a = 3.876 Å, b = 3.876 Å, c = 4.126 Å
α = 90.00°, β = 90.00°, γ = 90.00°
Space group P4/mmm (No. 123)
Unique sites:
Sc (0.000, 0.000, 0.000) [1 per cell]
Ni (0.000, 0.500, 0.500) [2 per cell]
Rh (0.500, 0.500, 0.000) [1 per cell]
C (0.500, 0.500, 0.500) [1 per cell]


20.
Compound: WAuCl2
Source: the Alexandria database
Functional: PBE-GGA
Structure: relaxed

Output
* excess energy over the best structure of this formula in the dataset: 1144 meV/atom
* volume: 74.9 Å³/cell

a = 4.249 Å, b = 4.249 Å, c = 4.149 Å
α = 90.00°, β = 90.00°, γ = 90.00°
Space group P4/mmm (No. 123)
Unique sites:
W (0.000, 0.000, 0.000) [1 per cell]
Au (0.500, 0.500, 0.000) [1 per cell]
Cl (0.000, 0.500, 0.500) [2 per cell]